[1]
## AcLa2ErBi4 (PBE)

Data for crystalline AcLa2ErBi4 at its relaxed geometry.

Geometry as POSCAR:
```
AcLa2ErBi4
1.0
4.701 0.000 0.000
0.000 8.121 -0.160
0.000 2.859 7.605
La Bi Er Ac
2 4 1 1
Direct
0.000 0.000 0.000 La
0.500 0.000 0.500 La
0.500 0.752 0.238 Bi
0.000 0.743 0.763 Bi
0.000 0.257 0.237 Bi
0.500 0.248 0.762 Bi
0.500 0.500 0.000 Er
0.000 0.500 0.500 Ac
```

Output
The density of states at the Fermi level is 0.90 states/eV per cell. Its crystal system is monoclinic. For the energy, the calculation gives -41.7 eV per cell.

=====

[2]
## AcLaEr2Bi4 (PBE)

Data for crystalline AcLaEr2Bi4 at its relaxed geometry.

Geometry as POSCAR:
```
AcLaEr2Bi4
1.0
-1.195 4.370 0.971
0.805 -1.513 7.799
7.533 1.554 2.273
Bi Ac La Er
4 1 1 2
Direct
0.500 0.768 0.248 Bi
0.000 0.772 0.738 Bi
0.000 0.228 0.262 Bi
0.500 0.232 0.752 Bi
0.500 0.500 0.000 Ac
0.000 0.500 0.500 La
0.000 0.000 0.000 Er
0.500 0.000 0.500 Er
```

Output
The density of states at the Fermi level is 1.17 states/eV per cell. Its crystal system is monoclinic. For the energy, the calculation gives -40.9 eV per cell.

=====

[3]
## AcNdEr2Bi4 (PBE)

Data for crystalline AcNdEr2Bi4 at its relaxed geometry.

Geometry as POSCAR:
```
AcNdEr2Bi4
1.0
4.607 0.000 0.000
0.000 7.949 -0.151
0.000 2.805 7.468
Ac Nd Bi Er
1 1 4 2
Direct
0.500 0.500 0.000 Ac
0.000 0.500 0.500 Nd
0.000 0.771 0.737 Bi
0.500 0.234 0.749 Bi
0.000 0.229 0.263 Bi
0.500 0.766 0.251 Bi
0.500 0.000 0.500 Er
0.000 0.000 0.000 Er
```

Output
The density of states at the Fermi level is 1.17 states/eV per cell. Its crystal system is monoclinic. For the energy, the calculation gives -40.5 eV per cell.

=====

[4]
## Ac2NdErBi4 (PBE)

Data for crystalline Ac2NdErBi4 at its relaxed geometry.

Geometry as POSCAR:
```
Ac2NdErBi4
1.0
4.711 0.000 0.000
0.000 8.147 -0.159
0.000 2.869 7.631
Ac Bi Er Nd
2 4 1 1
Direct
0.000 0.000 0.000 Ac
0.500 0.000 0.500 Ac
0.000 0.732 0.751 Bi
0.500 0.728 0.262 Bi
0.500 0.272 0.738 Bi
0.000 0.268 0.249 Bi
0.000 0.500 0.500 Er
0.500 0.500 0.000 Nd
```

Output
The density of states at the Fermi level is 1.06 states/eV per cell. Its crystal system is monoclinic. For the energy, the calculation gives -40.5 eV per cell.

=====

[5]
## AcErBiO5 (PBE)

Data for crystalline AcErBiO5 at its relaxed geometry.

Geometry as POSCAR:
```
AcErBiO5
1.0
-5.040 3.620 -1.472
-2.598 -5.498 1.924
3.565 3.448 6.695
Er O Ac Bi
2 10 2 2
Direct
0.000 0.000 0.500 Er
0.000 0.000 0.000 Er
0.730 0.649 0.417 O
0.649 0.730 0.917 O
0.351 0.270 0.083 O
0.328 0.897 0.583 O
0.923 0.077 0.750 O
0.672 0.103 0.417 O
0.077 0.923 0.250 O
0.103 0.672 0.917 O
0.897 0.328 0.083 O
0.270 0.351 0.583 O
0.312 0.688 0.250 Ac
0.688 0.312 0.750 Ac
0.686 0.314 0.250 Bi
0.314 0.686 0.750 Bi
```

Output
The calculation puts the formation energy from raw total energies at -2446 meV per atom. The density of states at the Fermi level is 4.53 states/eV per cell. Its crystal system is monoclinic. For the energy, the calculation gives -113.8 eV per cell.

=====

[6]
## AcEr2BiO8 (PBE)

Data for crystalline AcEr2BiO8 at its relaxed geometry.

Geometry as POSCAR:
```
AcEr2BiO8
1.0
3.963 -0.031 -0.002
0.028 5.318 -0.005
0.004 0.008 7.957
O Er Bi Ac
8 2 1 1
Direct
0.001 0.746 0.776 O
0.999 0.254 0.776 O
0.001 0.746 0.224 O
0.999 0.254 0.224 O
0.500 0.710 0.500 O
0.500 0.290 0.500 O
0.498 0.237 0.000 O
0.502 0.763 0.000 O
0.500 0.500 0.234 Er
0.500 0.500 0.766 Er
0.000 0.000 0.000 Bi
0.000 0.000 0.500 Ac
```

Output
The calculation puts the formation energy from raw total energies at -2304 meV per atom. The density of states at the Fermi level is 8.04 states/eV per cell. Its crystal system is monoclinic. For the energy, the calculation gives -84.4 eV per cell.

=====

[7]
## AcErBiO6 (PBE)

Data for crystalline AcErBiO6 at its relaxed geometry.

Geometry as POSCAR:
```
AcErBiO6
1.0
5.248 0.000 0.000
0.000 5.809 0.000
0.000 -2.905 5.031
O Ac Bi Er
6 1 1 1
Direct
0.278 0.983 0.681 O
0.722 0.319 0.017 O
0.722 0.983 0.302 O
0.278 0.698 0.017 O
0.278 0.319 0.302 O
0.722 0.698 0.681 O
0.000 0.333 0.667 Ac
0.500 0.000 0.000 Bi
0.500 0.667 0.333 Er
```

Output
The calculation puts the formation energy from raw total energies at -2168 meV per atom. The density of states at the Fermi level is 7.02 states/eV per cell. Its crystal system is trigonal. For the energy, the calculation gives -61.8 eV per cell.

=====

[8]
## Ac2ErBi2O2 (PBE)

Data for crystalline Ac2ErBi2O2 at its relaxed geometry.

Geometry as POSCAR:
```
Ac2ErBi2O2
1.0
4.512 0.000 0.000
0.000 4.512 0.000
-2.256 -2.256 8.750
Er Bi O Ac
1 2 2 2
Direct
0.000 0.000 0.000 Er
0.187 0.187 0.374 Bi
0.813 0.813 0.626 Bi
0.500 0.000 0.000 O
0.000 0.500 0.000 O
0.389 0.389 0.778 Ac
0.611 0.611 0.222 Ac
```

Output
The calculation puts the formation energy from raw total energies at -1935 meV per atom. The density of states at the Fermi level is 3.36 states/eV per cell. Its crystal system is tetragonal. For the energy, the calculation gives -44.0 eV per cell.

=====

[9]
## AcErBi2O8 (PBE)

Data for crystalline AcErBi2O8 at its relaxed geometry.

Geometry as POSCAR:
```
AcErBi2O8
1.0
5.536 0.000 0.000
0.000 5.536 0.000
-2.768 -2.768 5.817
O Er Ac Bi
8 1 1 2
Direct
0.605 0.671 0.697 O
0.329 0.907 0.303 O
0.380 0.341 0.178 O
0.163 0.620 0.822 O
0.798 0.837 0.178 O
0.973 0.395 0.303 O
0.659 0.202 0.822 O
0.093 0.027 0.697 O
0.000 0.000 0.000 Er
0.750 0.250 0.500 Ac
0.250 0.750 0.500 Bi
0.500 0.500 0.000 Bi
```

Output
The calculation puts the formation energy from raw total energies at -1941 meV per atom. Its crystal system is tetragonal. For the energy, the calculation gives -79.4 eV per cell.

=====

[10]
## Ac2ErBiO6 (PBE)

Data for crystalline Ac2ErBiO6 at its relaxed geometry.

Geometry as POSCAR:
```
Ac2ErBiO6
1.0
5.680 0.000 0.000
0.000 5.725 0.000
0.000 0.000 5.725
O Ac Bi Er
6 2 1 1
Direct
0.740 0.755 0.755 O
0.740 0.755 0.245 O
0.199 0.000 0.000 O
0.740 0.245 0.245 O
0.740 0.245 0.755 O
0.157 0.500 0.500 O
0.996 0.500 0.000 Ac
0.996 0.000 0.500 Ac
0.564 0.500 0.500 Bi
0.576 0.000 0.000 Er
```

Output
The calculation puts the formation energy from raw total energies at -2739 meV per atom. The density of states at the Fermi level is 0.00 states/eV per cell. Its crystal system is tetragonal. For the energy, the calculation gives -73.8 eV per cell.

=====

[11]
## AcErBiPd (PBE)

Data for crystalline AcErBiPd at its relaxed geometry.

Geometry as POSCAR:
```
AcErBiPd
1.0
5.454 0.000 0.000
2.727 4.724 0.000
2.727 1.575 4.453
Er Pd Ac Bi
1 1 1 1
Direct
0.750 0.750 0.750 Er
0.000 0.000 0.000 Pd
0.250 0.250 0.250 Ac
0.500 0.500 0.500 Bi
```

Output
The density of states at the Fermi level is 4.27 states/eV per cell. Its crystal system is cubic. For the energy, the calculation gives -20.0 eV per cell.

=====

[12]
## AcPmErBi (PBE)

Data for crystalline AcPmErBi at its relaxed geometry.

Geometry as POSCAR:
```
AcPmErBi
1.0
5.662 0.000 0.000
2.831 4.904 0.000
2.831 1.635 4.623
Bi Er Pm Ac
1 1 1 1
Direct
0.250 0.250 0.250 Bi
0.000 0.000 0.000 Er
0.500 0.500 0.500 Pm
0.750 0.750 0.750 Ac
```

Output
The density of states at the Fermi level is 4.97 states/eV per cell. Its crystal system is cubic. For the energy, the calculation gives -17.9 eV per cell.

=====

[13]
## Ac2PmErBi4 (PBE)

Data for crystalline Ac2PmErBi4 at its relaxed geometry.

Geometry as POSCAR:
```
Ac2PmErBi4
1.0
4.705 0.000 0.000
0.000 8.133 -0.156
0.000 2.867 7.619
Ac Bi Er Pm
2 4 1 1
Direct
0.500 0.000 0.500 Ac
0.000 0.000 0.000 Ac
0.000 0.731 0.752 Bi
0.500 0.728 0.261 Bi
0.000 0.269 0.248 Bi
0.500 0.272 0.739 Bi
0.000 0.500 0.500 Er
0.500 0.500 0.000 Pm
```

Output
The density of states at the Fermi level is 1.08 states/eV per cell. Its crystal system is monoclinic. For the energy, the calculation gives -40.4 eV per cell.

=====

[14]
## AcPrEr2Bi4 (PBE)

Data for crystalline AcPrEr2Bi4 at its relaxed geometry.

Geometry as POSCAR:
```
AcPrEr2Bi4
1.0
4.615 0.000 0.000
0.000 7.962 -0.150
0.000 2.811 7.481
Bi Pr Ac Er
4 1 1 2
Direct
0.000 0.771 0.737 Bi
0.500 0.233 0.750 Bi
0.000 0.229 0.263 Bi
0.500 0.767 0.250 Bi
0.000 0.500 0.500 Pr
0.500 0.500 0.000 Ac
0.500 0.000 0.500 Er
0.000 0.000 0.000 Er
```

Output
The density of states at the Fermi level is 1.17 states/eV per cell. Its crystal system is monoclinic. For the energy, the calculation gives -40.6 eV per cell.

=====

[15]
## Ac2PrErBi4 (PBE)

Data for crystalline Ac2PrErBi4 at its relaxed geometry.

Geometry as POSCAR:
```
Ac2PrErBi4
1.0
4.719 0.000 0.000
0.000 8.162 -0.159
0.000 2.874 7.644
Bi Ac Pr Er
4 2 1 1
Direct
0.000 0.733 0.750 Bi
0.000 0.267 0.250 Bi
0.500 0.729 0.263 Bi
0.500 0.271 0.737 Bi
0.000 0.000 0.000 Ac
0.500 0.000 0.500 Ac
0.500 0.500 0.000 Pr
0.000 0.500 0.500 Er
```

Output
The density of states at the Fermi level is 1.03 states/eV per cell. Its crystal system is monoclinic. For the energy, the calculation gives -40.5 eV per cell.

=====

[16]
## AcErBi2S6 (PBE)

Data for crystalline AcErBi2S6 at its relaxed geometry.

Geometry as POSCAR:
```
AcErBi2S6
1.0
7.189 0.000 0.000
3.595 6.226 0.000
3.595 2.076 6.325
S Bi Er Ac
6 2 1 1
Direct
0.393 0.711 0.754 S
0.604 0.220 0.245 S
0.931 0.604 0.245 S
0.142 0.393 0.754 S
0.711 0.142 0.754 S
0.220 0.931 0.245 S
0.520 0.520 0.440 Bi
0.014 0.014 0.957 Bi
0.318 0.318 0.046 Er
0.809 0.809 0.574 Ac
```

Output
The calculation puts the formation energy from raw total energies at -1205 meV per atom. The density of states at the Fermi level is 0.00 states/eV per cell. Its crystal system is trigonal. For the energy, the calculation gives -53.2 eV per cell.

=====

[17]
## Ac4Er3ScBi8 (PBE)

Data for crystalline Ac4Er3ScBi8 at its relaxed geometry.

Geometry as POSCAR:
```
Ac4Er3ScBi8
1.0
-4.124 3.799 7.431
-7.799 -4.623 -1.965
8.035 -4.600 0.980
Bi Ac Er Sc
8 4 3 1
Direct
0.762 0.279 0.524 Bi
0.238 0.721 0.476 Bi
0.255 0.279 0.017 Bi
0.258 0.275 0.517 Bi
0.762 0.279 0.017 Bi
0.745 0.721 0.983 Bi
0.238 0.721 0.983 Bi
0.742 0.725 0.483 Bi
0.000 0.000 0.500 Ac
0.000 0.000 0.000 Ac
0.500 0.000 0.000 Ac
0.500 0.000 0.500 Ac
0.500 0.500 0.000 Er
0.500 0.500 0.500 Er
0.000 0.500 0.500 Er
0.000 0.500 0.000 Sc
```

Output
The density of states at the Fermi level is 3.20 states/eV per cell. Its crystal system is trigonal. For the energy, the calculation gives -81.3 eV per cell.

=====

[18]
## Ac2ErScBi4 (PBE)

Data for crystalline Ac2ErScBi4 at its relaxed geometry.

Geometry as POSCAR:
```
Ac2ErScBi4
1.0
4.637 0.000 0.000
0.000 8.023 0.139
0.000 -2.805 7.471
Sc Er Ac Bi
1 1 2 4
Direct
0.000 0.000 0.000 Sc
0.500 0.500 0.000 Er
0.500 0.000 0.500 Ac
0.000 0.500 0.500 Ac
0.000 0.255 0.780 Bi
0.500 0.234 0.217 Bi
0.500 0.766 0.783 Bi
0.000 0.745 0.220 Bi
```

Output
The density of states at the Fermi level is 1.22 states/eV per cell. Its crystal system is monoclinic. For the energy, the calculation gives -41.3 eV per cell.

=====

[19]
## Ac2SmErBi4 (PBE)

Data for crystalline Ac2SmErBi4 at its relaxed geometry.

Geometry as POSCAR:
```
Ac2SmErBi4
1.0
-0.765 2.966 -3.563
-7.828 -2.162 -0.119
-4.234 4.862 4.958
Ac Bi Sm Er
2 4 1 1
Direct
0.000 0.000 0.000 Ac
0.500 0.000 0.500 Ac
0.000 0.730 0.753 Bi
0.500 0.727 0.261 Bi
0.500 0.273 0.739 Bi
0.000 0.270 0.247 Bi
0.500 0.500 0.000 Sm
0.000 0.500 0.500 Er
```

Output
The density of states at the Fermi level is 1.10 states/eV per cell. Its crystal system is monoclinic. For the energy, the calculation gives -40.4 eV per cell.

=====

[20]
## AcErSnBi (PBE)

Data for crystalline AcErSnBi at its relaxed geometry.

Geometry as POSCAR:
```
AcErSnBi
1.0
-1.276 0.564 -5.474
-5.330 -0.685 -1.743
-2.992 4.458 -1.758
Bi Er Ac Sn
1 1 1 1
Direct
0.250 0.250 0.250 Bi
0.000 0.000 0.000 Er
0.500 0.500 0.500 Ac
0.750 0.750 0.750 Sn
```

Output
The density of states at the Fermi level is 4.66 states/eV per cell. Its crystal system is cubic. For the energy, the calculation gives -18.7 eV per cell.